A plane-wave DFT calculation with GGA-PBE was carried out for an optimized crystal structure of AcZnInPt3.

Results
DOS(E_F): 5.52 states/eV per cell
Energy relative to the elements: -58 kJ per mole of atoms

a b c (Å): 7.5211 5.8530 6.8242
angles (deg): 115.39 90.00 90.00
Sites, in units of the cell vectors:
Ac: 0.7500 0.3227 0.6454
Ac: 0.2500 0.6773 0.3546
Zn: 0.2500 0.9446 0.8892
Zn: 0.7500 0.0554 0.1108
In: 0.2500 0.3749 0.7499
In: 0.7500 0.6251 0.2501
Pt: 0.2500 0.1596 0.3191
Pt: 0.0000 0.2577 0.0000
Pt: 0.5000 0.7423 0.0000
Pt: 0.5000 0.2577 0.0000
Pt: 0.0000 0.7423 0.0000
Pt: 0.7500 0.8404 0.6809